# 1
Compound: KTa3Si
Source: the Alexandria database
Functional: PBE
Structure: optimized geometry

- Total energy: -7.12 eV per atom

Lattice parameters (Å, degrees): 4.8565 4.8565 4.8565 90.00 90.00 90.00
Closest atoms and distances in Å follow each position.
Positions (direct):
K (0.5000, 0.5000, 0.5000)  12 Ta 3.43
Si (0.0000, 0.0000, 0.0000)  6 Ta 2.43
Ta (0.0000, 0.5000, 0.0000)  2 Si 2.43
Ta (0.0000, 0.0000, 0.5000)  2 Si 2.43
Ta (0.5000, 0.0000, 0.0000)  2 Si 2.43

=====

# 2
Compound: In12Hg5Ge3
Source: the Alexandria database
Functional: PBE
Structure: optimized geometry

- ΔH_f (0 K): 2.85 eV/f.u.

Lattice parameters (Å, degrees): 14.7444 14.7444 14.7444 109.47 109.47 109.47
Closest atoms and distances in Å follow each position.
Positions (direct):
Ge (0.7500, 0.3750, 0.1250)  8 In 2.92-3.23
Ge (0.8750, 0.7500, 0.1250)  8 In 2.92-3.23
Ge (0.3750, 0.7500, 0.6250)  8 In 2.92-3.23
Ge (0.2500, 0.1250, 0.3750)  8 In 2.92-3.23
Ge (0.8750, 0.1250, 0.2500)  8 In 2.92-3.23
Ge (0.3750, 0.6250, 0.2500)  8 In 2.92-3.23
Ge (0.6250, 0.3750, 0.7500)  8 In 2.92-3.23
Ge (0.1250, 0.8750, 0.7500)  8 In 2.92-3.23
Ge (0.7500, 0.8750, 0.6250)  8 In 2.92-3.23
Ge (0.6250, 0.2500, 0.3750)  8 In 2.92-3.23
Ge (0.1250, 0.2500, 0.8750)  8 In 2.92-3.23
Ge (0.2500, 0.6250, 0.8750)  8 In 2.92-3.23
Hg (0.1250, 0.3750, 0.2500)  4 In 2.86
Hg (0.0000, 0.5000, 0.0000)  6 In 2.94
Hg (0.0000, 0.0000, 0.0000)  6 In 2.94
Hg (0.3750, 0.2500, 0.1250)  4 In 2.86
Hg (0.5000, 0.0000, 0.5000)  6 In 2.94
Hg (0.5000, 0.5000, 0.0000)  6 In 2.94
Hg (0.1250, 0.7500, 0.3750)  4 In 2.86
Hg (0.7500, 0.1250, 0.8750)  4 In 2.86
Hg (0.7500, 0.6250, 0.3750)  4 In 2.86
Hg (0.3750, 0.1250, 0.7500)  4 In 2.86
Hg (0.6250, 0.8750, 0.2500)  4 In 2.86
Hg (0.5000, 0.5000, 0.5000)  6 In 2.94
Hg (0.5000, 0.0000, 0.0000)  6 In 2.94
Hg (0.0000, 0.0000, 0.5000)  6 In 2.94
Hg (0.2500, 0.3750, 0.6250)  4 In 2.86
Hg (0.2500, 0.8750, 0.1250)  4 In 2.86
Hg (0.0000, 0.5000, 0.5000)  6 In 2.94
Hg (0.8750, 0.2500, 0.6250)  4 In 2.86
Hg (0.6250, 0.7500, 0.8750)  4 In 2.86
Hg (0.8750, 0.6250, 0.7500)  4 In 2.86
In (0.7328, 0.1362, 0.0654)  2 Hg 2.86-2.94, 1 Ge 2.92, 1 In 3.12
In (0.3326, 0.5654, 0.4292)  2 Hg 2.86-2.94, 1 Ge 2.92, 1 In 3.12
In (0.9346, 0.3638, 0.2672)  2 Hg 2.86-2.94, 1 Ge 2.92, 1 In 3.12
In (0.5654, 0.2328, 0.1362)  2 Hg 2.86-2.94, 1 Ge 2.92, 1 In 3.12
In (0.5966, 0.7328, 0.6674)  2 Hg 2.86-2.94, 1 Ge 2.92, 1 In 3.12
In (0.9346, 0.5708, 0.1674)  2 Hg 2.86-2.94, 1 Ge 2.92, 1 In 3.12
In (0.3326, 0.7672, 0.4034)  2 Hg 2.86-2.94, 1 Ge 2.92, 1 In 3.12
In (0.0708, 0.9034, 0.1362)  2 Hg 2.86-2.94, 1 Ge 2.92, 1 In 3.12
In (0.5708, 0.9346, 0.6674)  2 Hg 2.86-2.94, 1 Ge 2.92, 1 In 3.12
In (0.7328, 0.5966, 0.1674)  2 Hg 2.86-2.94, 1 Ge 2.92, 1 In 3.12
In (0.7672, 0.4346, 0.3638)  2 Hg 2.86-2.94, 1 Ge 2.92, 1 In 3.12
In (0.8326, 0.9292, 0.0654)  2 Hg 2.86-2.94, 1 Ge 2.92, 1 In 3.12
In (0.1362, 0.7328, 0.5654)  2 Hg 2.86-2.94, 1 Ge 2.92, 1 In 3.12
In (0.3638, 0.4292, 0.0966)  2 Hg 2.86-2.94, 1 Ge 2.92, 1 In 3.12
In (0.0966, 0.9292, 0.3638)  2 Hg 2.86-2.94, 1 Ge 2.92, 1 In 3.12
In (0.4034, 0.1362, 0.5708)  2 Hg 2.86-2.94, 1 Ge 2.92, 1 In 3.12
In (0.0966, 0.1674, 0.2328)  2 Hg 2.86-2.94, 1 Ge 2.92, 1 In 3.12
In (0.4346, 0.6674, 0.0708)  2 Hg 2.86-2.94, 1 Ge 2.92, 1 In 3.12
In (0.8326, 0.9034, 0.2672)  2 Hg 2.86-2.94, 1 Ge 2.92, 1 In 3.12
In (0.1362, 0.4034, 0.0708)  2 Hg 2.86-2.94, 1 Ge 2.92, 1 In 3.12
In (0.3638, 0.9346, 0.7672)  2 Hg 2.86-2.94, 1 Ge 2.92, 1 In 3.12
In (0.5708, 0.6362, 0.4034)  2 Hg 2.86-2.94, 1 Ge 2.92, 1 In 3.12
In (0.9292, 0.8326, 0.5654)  2 Hg 2.86-2.94, 1 Ge 2.92, 1 In 3.12
In (0.7672, 0.3326, 0.9034)  2 Hg 2.86-2.94, 1 Ge 2.92, 1 In 3.12
In (0.4292, 0.3638, 0.5966)  2 Hg 2.86-2.94, 1 Ge 2.92, 1 In 3.12
In (0.0708, 0.1674, 0.4346)  2 Hg 2.86-2.94, 1 Ge 2.92, 1 In 3.12
In (0.2328, 0.6674, 0.0966)  2 Hg 2.86-2.94, 1 Ge 2.92, 1 In 3.12
In (0.1674, 0.0966, 0.7328)  2 Hg 2.86-2.94, 1 Ge 2.92, 1 In 3.12
In (0.6362, 0.0654, 0.2328)  2 Hg 2.86-2.94, 1 Ge 2.92, 1 In 3.12
In (0.8638, 0.5966, 0.9292)  2 Hg 2.86-2.94, 1 Ge 2.92, 1 In 3.12
In (0.5654, 0.3326, 0.9292)  2 Hg 2.86-2.94, 1 Ge 2.92, 1 In 3.12
In (0.5966, 0.8638, 0.4292)  2 Hg 2.86-2.94, 1 Ge 2.92, 1 In 3.12
In (0.9034, 0.8326, 0.7672)  2 Hg 2.86-2.94, 1 Ge 2.92, 1 In 3.12
In (0.9034, 0.0708, 0.6362)  2 Hg 2.86-2.94, 1 Ge 2.92, 1 In 3.12
In (0.8638, 0.2672, 0.4346)  2 Hg 2.86-2.94, 1 Ge 2.92, 1 In 3.12
In (0.1674, 0.0708, 0.9346)  2 Hg 2.86-2.94, 1 Ge 2.92, 1 In 3.12
In (0.6362, 0.5708, 0.9034)  2 Hg 2.86-2.94, 1 Ge 2.92, 1 In 3.12
In (0.4292, 0.0654, 0.3326)  2 Hg 2.86-2.94, 1 Ge 2.92, 1 In 3.12
In (0.2672, 0.4034, 0.8326)  2 Hg 2.86-2.94, 1 Ge 2.92, 1 In 3.12
In (0.2328, 0.5654, 0.6362)  2 Hg 2.86-2.94, 1 Ge 2.92, 1 In 3.12
In (0.9292, 0.0966, 0.8638)  2 Hg 2.86-2.94, 1 Ge 2.92, 1 In 3.12
In (0.6674, 0.2328, 0.5966)  2 Hg 2.86-2.94, 1 Ge 2.92, 1 In 3.12
In (0.4346, 0.7672, 0.8638)  2 Hg 2.86-2.94, 1 Ge 2.92, 1 In 3.12
In (0.0654, 0.4292, 0.8326)  2 Hg 2.86-2.94, 1 Ge 2.92, 1 In 3.12
In (0.4034, 0.2672, 0.3326)  2 Hg 2.86-2.94, 1 Ge 2.92, 1 In 3.12
In (0.0654, 0.6362, 0.7328)  2 Hg 2.86-2.94, 1 Ge 2.92, 1 In 3.12
In (0.6674, 0.4346, 0.5708)  2 Hg 2.86-2.94, 1 Ge 2.92, 1 In 3.12
In (0.2672, 0.8638, 0.9346)  2 Hg 2.86-2.94, 1 Ge 2.92, 1 In 3.12

=====

# 3
Compound: CrHgIr2
Source: the Alexandria database
Functional: PBE
Structure: optimized geometry

- ΔH_f (0 K): 1.41 eV/f.u.

Lattice parameters (Å, degrees): 4.9125 4.9125 4.9125 132.84 132.84 68.91
Closest atoms and distances in Å follow each position.
Positions (direct):
Cr (0.5000, 0.5000, 0.0000)  8 Ir 2.78-2.82, 4 Hg 2.82
Hg (0.7500, 0.2500, 0.5000)  8 Ir 2.78-2.82, 4 Cr 2.82
Ir (0.0000, 0.0000, 0.0000)  4 Cr 2.78, 4 Ir 2.82, 4 Hg 2.82
Ir (0.2500, 0.7500, 0.5000)  4 Hg 2.78, 4 Cr 2.82, 4 Ir 2.82

=====

# 4
Compound: CuSiAg2
Source: the Alexandria database
Functional: PBE
Structure: optimized geometry

- Total energy: -3.66 eV per atom

Lattice parameters (Å, degrees): 2.8567 2.8567 7.6957 90.00 90.00 91.73
Closest atoms and distances in Å follow each position.
Positions (direct):
Ag (0.0000, 0.0000, 0.9877)  8 Ag 2.86-3.00, 4 Si 2.88-2.93
Ag (0.5000, 0.5000, 0.2721)  4 Cu 2.78-2.82, 8 Ag 2.86-3.00
Cu (0.0000, 0.0000, 0.5238)  4 Si 2.48-2.53, 2 Ag 2.78
Si (0.5000, 0.5000, 0.7164)  4 Cu 2.48-2.53